Here is a relaxed structure of NdNpCl6 from OQMD via LeMat-Bulk. Energies are from GGA-PBE.

Cell and atoms, written as CIF:
```
data_NdNpCl6
_chemical_formula_sum 'Nd1 Np1 Cl6'
_space_group_name_H-M_alt 'P 1'
_space_group_IT_number 1
_space_group_name_Hall 'P 1'
_cell_length_a 7.441
_cell_length_b 7.441
_cell_length_c 4.267
_cell_angle_alpha 90.00
_cell_angle_beta 90.00
_cell_angle_gamma 120.00
loop_
_atom_site_label
_atom_site_type_symbol
_atom_site_fract_x
_atom_site_fract_y
_atom_site_fract_z
_atom_site_occupancy
Nd1 Nd 0.000 0.000 0.000 1
Np1 Np 0.667 0.333 0.500 1
Cl1 Cl 0.029 0.751 0.500 1
Cl2 Cl 0.249 0.278 0.500 1
Cl3 Cl 0.420 0.057 0.000 1
Cl4 Cl 0.637 0.580 0.000 1
Cl5 Cl 0.722 0.971 0.500 1
Cl6 Cl 0.943 0.363 0.000 1
```

Calculated values
The calculation puts the magnetic moment at 4.0 μB per cell. The crystal system is hexagonal. The uncorrected energy is -44.80 eV for the cell shown. The value obtained for the calculated density is 4.8 Mg/m³.

***

Here is a relaxed structure of HfCoHgB from OQMD via LeMat-Bulk. Energies are from GGA-PBE.

Cell and atoms, written as CIF:
```
data_HfCoHgB
_chemical_formula_sum 'Hf1 Co1 Hg1 B1'
_space_group_name_H-M_alt 'P 1'
_space_group_IT_number 1
_space_group_name_Hall 'P 1'
_cell_length_a 4.369
_cell_length_b 4.369
_cell_length_c 4.369
_cell_angle_alpha 60.00
_cell_angle_beta 60.00
_cell_angle_gamma 60.00
loop_
_atom_site_label
_atom_site_type_symbol
_atom_site_fract_x
_atom_site_fract_y
_atom_site_fract_z
_atom_site_occupancy
Hf1 Hf 0.000 0.000 0.000 1
Co1 Co 0.500 0.500 0.500 1
Hg1 Hg 0.750 0.750 0.750 1
B1 B 0.250 0.250 0.250 1
```

Calculated values
The calculation puts the magnetic moment at 0.3 μB per cell. The crystal system is cubic. The energy above the most stable polymorph in this dataset comes out at 0.000 eV/atom. The uncorrected energy is -21.89 eV for the cell shown. The value obtained for the calculated density is 12.6 Mg/m³.

***

Here is a relaxed structure of MgAgSeO from OQMD via LeMat-Bulk. Energies are from GGA-PBE.

Cell and atoms, written as CIF:
```
data_MgAgSeO
_chemical_formula_sum 'Mg2 Ag2 Se2 O2'
_space_group_name_H-M_alt 'P 1'
_space_group_IT_number 1
_space_group_name_Hall 'P 1'
_cell_length_a 4.063
_cell_length_b 4.063
_cell_length_c 9.761
_cell_angle_alpha 90.00
_cell_angle_beta 90.00
_cell_angle_gamma 90.00
loop_
_atom_site_label
_atom_site_type_symbol
_atom_site_fract_x
_atom_site_fract_y
_atom_site_fract_z
_atom_site_occupancy
Mg1 Mg 0.250 0.250 0.124 1
Mg2 Mg 0.750 0.750 0.876 1
Ag1 Ag 0.250 0.250 0.566 1
Ag2 Ag 0.750 0.750 0.434 1
Se1 Se 0.250 0.250 0.858 1
Se2 Se 0.750 0.750 0.142 1
O1 O 0.250 0.750 0.500 1
O2 O 0.750 0.250 0.500 1
```

Calculated values
The crystal system is tetragonal. The energy above the most stable polymorph in this dataset comes out at 0.687 eV/atom. The uncorrected energy is -29.21 eV for the cell shown. The value obtained for the calculated density is 4.7 Mg/m³.

***

Here is a relaxed structure of CsBeOs from OQMD via LeMat-Bulk. Energies are from GGA-PBE.

Cell and atoms, written as CIF:
```
data_CsBeOs
_chemical_formula_sum 'Cs1 Be1 Os1'
_space_group_name_H-M_alt 'P 1'
_space_group_IT_number 1
_space_group_name_Hall 'P 1'
_cell_length_a 4.493
_cell_length_b 4.493
_cell_length_c 4.493
_cell_angle_alpha 60.00
_cell_angle_beta 60.00
_cell_angle_gamma 60.00
loop_
_atom_site_label
_atom_site_type_symbol
_atom_site_fract_x
_atom_site_fract_y
_atom_site_fract_z
_atom_site_occupancy
Cs1 Cs 0.000 0.000 0.000 1
Be1 Be 0.250 0.250 0.250 1
Os1 Os 0.500 0.500 0.500 1
```

Calculated values
The calculation puts the magnetic moment at 1.0 μB per cell. The crystal system is cubic. The energy above the most stable polymorph in this dataset comes out at 0.124 eV/atom. The uncorrected energy is -9.19 eV for the cell shown. The value obtained for the calculated density is 8.6 Mg/m³.

***

Here is a relaxed structure of NaYTc from OQMD via LeMat-Bulk. Energies are from GGA-PBE.

Cell and atoms, written as CIF:
```
data_NaYTc
_chemical_formula_sum 'Na1 Y1 Tc1'
_space_group_name_H-M_alt 'P 1'
_space_group_IT_number 1
_space_group_name_Hall 'P 1'
_cell_length_a 4.688
_cell_length_b 4.688
_cell_length_c 4.688
_cell_angle_alpha 60.00
_cell_angle_beta 60.00
_cell_angle_gamma 60.00
loop_
_atom_site_label
_atom_site_type_symbol
_atom_site_fract_x
_atom_site_fract_y
_atom_site_fract_z
_atom_site_occupancy
Na1 Na 0.000 0.000 0.000 1
Y1 Y 0.250 0.250 0.250 1
Tc1 Tc 0.750 0.750 0.750 1
```

Calculated values
The calculation puts the magnetic moment at 1.4 μB per cell. The crystal system is cubic. The energy above the most stable polymorph in this dataset comes out at 0.000 eV/atom. The uncorrected energy is -14.16 eV for the cell shown. The value obtained for the calculated density is 4.8 Mg/m³.

***

Here is a relaxed structure of TbTm2O4 from OQMD via LeMat-Bulk. Energies are from GGA-PBE.

Cell and atoms, written as CIF:
```
data_TbTm2O4
_chemical_formula_sum 'Tb2 Tm4 O8'
_space_group_name_H-M_alt 'P 1'
_space_group_IT_number 1
_space_group_name_Hall 'P 1'
_cell_length_a 6.686
_cell_length_b 6.686
_cell_length_c 6.686
_cell_angle_alpha 60.00
_cell_angle_beta 60.00
_cell_angle_gamma 60.00
loop_
_atom_site_label
_atom_site_type_symbol
_atom_site_fract_x
_atom_site_fract_y
_atom_site_fract_z
_atom_site_occupancy
Tb1 Tb 0.125 0.125 0.125 1
Tb2 Tb 0.875 0.875 0.875 1
Tm1 Tm 0.000 0.500 0.500 1
Tm2 Tm 0.500 0.000 0.500 1
Tm3 Tm 0.500 0.500 0.000 1
Tm4 Tm 0.500 0.500 0.500 1
O1 O 0.261 0.261 0.261 1
O2 O 0.261 0.261 0.718 1
O3 O 0.261 0.718 0.261 1
O4 O 0.282 0.739 0.739 1
O5 O 0.718 0.261 0.261 1
O6 O 0.739 0.282 0.739 1
O7 O 0.739 0.739 0.282 1
O8 O 0.739 0.739 0.739 1
```

Calculated values
The calculation puts the magnetic moment at 0.2 μB per cell. The crystal system is cubic. The uncorrected energy is -112.83 eV for the cell shown. The value obtained for the calculated density is 8.8 Mg/m³.

***

Here is a relaxed structure of Pr2Sm2CCl5 from OQMD via LeMat-Bulk. Energies are from GGA-PBE.

Cell and atoms, written as CIF:
```
data_Pr2Sm2CCl5
_chemical_formula_sum 'Pr2 Sm2 C1 Cl5'
_space_group_name_H-M_alt 'P 1'
_space_group_IT_number 1
_space_group_name_Hall 'P 1'
_cell_length_a 9.060
_cell_length_b 9.060
_cell_length_c 8.015
_cell_angle_alpha 104.44
_cell_angle_beta 104.44
_cell_angle_gamma 24.50
loop_
_atom_site_label
_atom_site_type_symbol
_atom_site_fract_x
_atom_site_fract_y
_atom_site_fract_z
_atom_site_occupancy
Pr1 Pr 0.148 0.148 0.088 1
Pr2 Pr 0.852 0.852 0.912 1
Sm1 Sm 0.499 0.499 0.213 1
Sm2 Sm 0.501 0.501 0.787 1
C1 C 0.000 0.000 0.000 1
Cl1 Cl 0.000 0.000 0.500 1
Cl2 Cl 0.333 0.333 0.170 1
Cl3 Cl 0.339 0.339 0.645 1
Cl4 Cl 0.661 0.661 0.355 1
Cl5 Cl 0.667 0.667 0.830 1
```

Calculated values
The calculation puts the magnetic moment at 0.3 μB per cell. The crystal system is monoclinic. The uncorrected energy is -54.35 eV for the cell shown. The value obtained for the calculated density is 4.9 Mg/m³.

***

Here is a relaxed structure of TmSbPt from OQMD via LeMat-Bulk. Energies are from GGA-PBE.

Cell and atoms, written as CIF:
```
data_TmSbPt
_chemical_formula_sum 'Tm3 Sb3 Pt3'
_space_group_name_H-M_alt 'P 1'
_space_group_IT_number 1
_space_group_name_Hall 'P 1'
_cell_length_a 7.398
_cell_length_b 7.398
_cell_length_c 4.140
_cell_angle_alpha 90.00
_cell_angle_beta 90.00
_cell_angle_gamma 120.00
loop_
_atom_site_label
_atom_site_type_symbol
_atom_site_fract_x
_atom_site_fract_y
_atom_site_fract_z
_atom_site_occupancy
Tm1 Tm 0.000 0.606 0.000 1
Tm2 Tm 0.394 0.394 0.000 1
Tm3 Tm 0.606 0.000 0.000 1
Sb1 Sb 0.000 0.273 0.500 1
Sb2 Sb 0.273 0.000 0.500 1
Sb3 Sb 0.727 0.727 0.500 1
Pt1 Pt 0.000 0.000 0.000 1
Pt2 Pt 0.333 0.667 0.500 1
Pt3 Pt 0.667 0.333 0.500 1
```

Calculated values
The calculation puts the magnetic moment at 0.0 μB per cell. The crystal system is hexagonal. The uncorrected energy is -53.26 eV for the cell shown. The value obtained for the calculated density is 12.3 Mg/m³.